[1]
Material: AlSbTe2Pt
Method: DFT, PBE
State: relaxed

It has space group P4/mmm (No. 123), with a = 5.531 Å, b = 5.531 Å, c = 5.071 Å, α = 90.00°, β = 90.00° and γ = 90.00°. Symmetry generates all atoms from Al at (0.000, 0.000, 0.000), Sb at (0.500, 0.500, 0.000), Te at (0.000, 0.500, 0.500) and Pt at (0.500, 0.500, 0.500).

The value obtained for the distance to the lowest polymorph of the same formula is 0.000 eV per formula unit.



[2]
Material: AlVSbPt2
Method: DFT, PBE
State: relaxed

It has space group P4/mmm (No. 123), with a = 4.574 Å, b = 4.574 Å, c = 4.661 Å, α = 90.00°, β = 90.00° and γ = 90.00°. Symmetry generates all atoms from Al at (0.000, 0.000, 0.000), V at (0.000, 0.000, 0.500), Sb at (0.500, 0.500, 0.500) and Pt at (0.000, 0.500, 0.000).

Its electronic total energy is -5.35 eV/atom.



[3]
Material: AlZnSbPt2
Method: DFT, PBE
State: relaxed

It has space group P4/mmm (No. 123), with a = 5.028 Å, b = 5.028 Å, c = 5.172 Å, α = 90.00°, β = 90.00° and γ = 90.00°. Symmetry generates all atoms from Al at (0.000, 0.000, 0.000), Zn at (0.500, 0.500, 0.000), Sb at (0.000, 0.000, 0.500) and Pt at (0.000, 0.500, 0.500).

Its electronic total energy is -3.47 eV/atom.



[4]
Material: Sc2Al12Pt7
Method: DFT, PBE
State: relaxed

It has space group P-6 (No. 174), with a = 10.7344 Å, b = 10.7344 Å, c = 3.4691 Å, α = 90.00°, β = 90.00° and γ = 120.00°. Symmetry generates all atoms from Sc at (0.0000, 0.0000, 0.0000), Sc at (0.3333, 0.6667, 0.5000), Al at (0.0507, 0.7781, 0.5000), Al at (0.1136, 0.3979, 0.0000), Al at (0.3955, 0.2284, 0.0000), Al at (0.5177, 0.1022, 0.5000), Pt at (0.0784, 0.6156, 0.0000), Pt at (0.2460, 0.0424, 0.5000) and Pt at (0.6667, 0.3333, 0.0000).

Its energy of formation from the pure elements is -0.93 eV/atom.



[5]
Material: ScAl2Pt
Method: DFT, PBE
State: relaxed

It has space group C2/m (No. 12), with a = 5.602 Å, b = 9.527 Å, c = 2.941 Å, α = 90.00°, β = 118.82° and γ = 90.00°. Symmetry generates all atoms from Sc at (0.000, 0.000, 0.000), Al at (0.250, 0.250, 0.500) and Pt at (0.000, 0.500, 0.000).

Its energy of formation from the pure elements is -0.52 eV/atom.



[6]
Material: Sc4Al3Pt
Method: DFT, PBE
State: relaxed

It has space group P4/mmm (No. 123), with a = 3.397 Å, b = 3.397 Å, c = 13.125 Å, α = 90.00°, β = 90.00° and γ = 90.00°. Symmetry generates all atoms from Sc at (0.000, 0.000, 0.118), Sc at (0.000, 0.000, 0.372), Al at (0.500, 0.500, 0.245), Al at (0.500, 0.500, 0.500) and Pt at (0.500, 0.500, 0.000).

Its energy of formation from the pure elements is -0.65 eV/atom.



[7]
Material: Sc3AlPt4
Method: DFT, PBE
State: relaxed

It has space group P4/mmm (No. 123), with a = 3.247 Å, b = 3.247 Å, c = 13.018 Å, α = 90.00°, β = 90.00° and γ = 90.00°. Symmetry generates all atoms from Sc at (0.000, 0.000, 0.000), Sc at (0.000, 0.000, 0.261), Al at (0.000, 0.000, 0.500), Pt at (0.500, 0.500, 0.133) and Pt at (0.500, 0.500, 0.390).

Its energy of formation from the pure elements is -1.18 eV/atom.



[8]
Material: ScAlPt2
Method: DFT, PBE
State: relaxed

It has space group R3m (No. 160, hexagonal axes), with a = 2.9748 Å, b = 2.9748 Å, c = 26.6662 Å, α = 90.00°, β = 90.00° and γ = 120.00°. Symmetry generates all atoms from Sc at (0.0000, 0.0000, 0.0000), Al at (0.0000, 0.0000, 0.7579), Pt at (0.0000, 0.0000, 0.2532) and Pt at (0.0000, 0.0000, 0.4960).

Its energy of formation from the pure elements is -0.49 eV/atom.



[9]
Material: Sc2Al4Pt
Method: DFT, PBE
State: relaxed

It has space group I4/mmm (No. 139), with a = 4.643 Å, b = 4.643 Å, c = 14.480 Å, α = 90.00°, β = 90.00° and γ = 90.00°. Symmetry generates all atoms from Sc at (0.000, 0.000, 0.138), Al at (0.000, 0.000, 0.327), Al at (0.000, 0.500, 0.000) and Pt at (0.000, 0.000, 0.500).

Its energy of formation from the pure elements is -0.07 eV/atom.



[10]
Material: ScAl6Pt3
Method: DFT, PBE
State: relaxed

It has space group P2_1/m (No. 11), with a = 7.975 Å, b = 4.087 Å, c = 10.481 Å, α = 90.00°, β = 97.38° and γ = 90.00°. Symmetry generates all atoms from Sc at (0.012, 0.250, 0.272), Al at (0.067, 0.250, 0.932), Al at (0.201, 0.750, 0.440), Al at (0.256, 0.750, 0.190), Al at (0.328, 0.750, 0.722), Al at (0.418, 0.250, 0.065), Al at (0.448, 0.250, 0.581), Pt at (0.128, 0.250, 0.565), Pt at (0.258, 0.750, 0.950) and Pt at (0.369, 0.250, 0.331).

Its energy of formation from the pure elements is -0.82 eV/atom.



[11]
Material: ScAlPt3
Method: DFT, PBE
State: relaxed

It has space group Pm-3m (No. 221), with a = 4.576 Å, b = 4.576 Å, c = 4.576 Å, α = 90.00°, β = 90.00° and γ = 90.00°. Symmetry generates all atoms from Sc at (0.000, 0.000, 0.000), Al at (0.500, 0.500, 0.500) and Pt at (0.000, 0.500, 0.500).

The value obtained for the distance to the lowest polymorph of the same formula is 0.000 eV per formula unit. Its energy of formation from the pure elements is -0.31 eV/atom.



[12]
Material: ScAl2Pt
Method: DFT, PBE
State: relaxed

It has space group Pm (No. 6), with a = 3.200 Å, b = 4.258 Å, c = 5.391 Å, α = 90.00°, β = 106.63° and γ = 90.00°. Symmetry generates all atoms from Sc at (0.000, 0.000, 0.000), Al at (0.271, 0.000, 0.529), Al at (0.672, 0.500, 0.339) and Pt at (0.409, 0.500, 0.804).

Its energy of formation from the pure elements is -0.67 eV/atom.



[13]
Material: Sc3Al8Pt3
Method: DFT, PBE
State: relaxed

It has space group C2/m (No. 12), with a = 15.033 Å, b = 4.256 Å, c = 9.513 Å, α = 90.00°, β = 128.15° and γ = 90.00°. Symmetry generates all atoms from Sc at (0.000, 0.000, 0.000), Sc at (0.219, 0.500, 0.717), Al at (0.002, 0.500, 0.658), Al at (0.138, 0.500, 0.261), Al at (0.147, 0.000, 0.437), Al at (0.154, 0.000, 0.869), Pt at (0.000, 0.000, 0.500) and Pt at (0.135, 0.500, 0.996).

Its energy of formation from the pure elements is -0.82 eV/atom.



DOS(E_F) list, top to bottom, in states/eV/atom: 1.104, 0.697, 0.452, 0.296, 0.559, 0.498, 0.317, 0.681, 0.777, 0.230, 0.654, 0.615, 0.330